Entry 1:
Density functional theory data (PBE-GGA) for a relaxed RbSiMo crystal.

abc: 3.449 4.666 12.394
angles: 97.53 92.77 111.64
Space group P-1 (No. 2)
One atom of each set of equivalent atoms:
Rb1 0.116 0.341 0.188 x2
Si1 0.483 0.931 0.600 x2
Mo1 0.174 0.334 0.546 x2

Values from the calculation:
ΔE_f (raw): 0.130 eV per atom
total energy: -5.61 eV/atom


Entry 2:
Density functional theory data (PBE-GGA) for a relaxed PuTiRh4 crystal.

abc: 6.368 3.935 15.975
angles: 90.00 90.00 90.00
Space group Pnma (No. 62)
One atom of each set of equivalent atoms:
Pu1 0.203 0.250 0.217 x4
Ti1 0.185 0.750 0.475 x4
Rh1 0.029 0.750 0.938 x4
Rh2 0.063 0.250 0.382 x4
Rh3 0.137 0.250 0.825 x4
Rh4 0.232 0.250 0.583 x4

Values from the calculation:
energy of formation: -2.48 eV per formula unit
total energy: -9.02 eV/atom


Entry 3:
Density functional theory data (PBE-GGA) for a relaxed ErTlReO6 crystal.

abc: 5.5650 5.5650 4.9676
angles: 90.00 90.00 120.00
Space group P312 (No. 149)
One atom of each set of equivalent atoms:
Er1 0.0000 0.0000 0.0000 x1
Tl1 0.6667 0.3333 0.5000 x1
Re1 0.3333 0.6667 0.0000 x1
O1 0.0599 0.3744 0.2175 x6

Values from the calculation:
ΔE_f (raw): -1.856 eV per atom
total energy: -7.31 eV/atom


Entry 4:
Density functional theory data (PBE-GGA) for a relaxed Sn3BiO crystal.

abc: 5.931 5.931 5.931
angles: 90.00 90.00 90.00
Space group Pm-3m (No. 221)
One atom of each set of equivalent atoms:
Sn1 0.000 0.000 0.500 x3
Bi1 0.000 0.000 0.000 x1
O1 0.500 0.500 0.500 x1

Values from the calculation:
ΔE_f (raw): 1.183 eV per atom
total energy: -2.99 eV/atom


Entry 5:
Density functional theory data (PBE-GGA) for a relaxed Dy3Si2Rh3 crystal.

abc: 7.536 14.765 5.537
angles: 90.00 90.00 90.00
Space group Pnma (No. 62)
One atom of each set of equivalent atoms:
Dy1 0.026 0.107 0.134 x8
Dy2 0.169 0.250 0.610 x4
Si1 0.123 0.603 0.371 x8
Rh1 0.169 0.037 0.598 x8
Rh2 0.181 0.750 0.595 x4

Values from the calculation:
ΔE_f (raw): -1.029 eV per atom
total energy: -6.87 eV/atom


Entry 6:
Density functional theory data (PBE-GGA) for a relaxed HoThInRu crystal.

abc: 7.303 7.303 7.303
angles: 90.00 90.00 90.00
Space group F-43m (No. 216)
One atom of each set of equivalent atoms:
Ho1 0.000 0.000 0.000 x4
Th1 0.000 0.000 0.500 x4
In1 0.250 0.250 0.250 x4
Ru1 0.250 0.250 0.750 x4

Values from the calculation:
energy of formation: -0.92 eV per formula unit
total energy: -6.23 eV/atom